An optimized crystal structure of K4Th3Se8, computed with GGA-PBE.

Cell: 8.8287 8.8287 9.6660 Å, 62.83 62.83 60.00°
Fractional positions:
Se: 0.2016 0.7469 0.3047
Se: 0.2531 0.7984 0.6953
Se: 0.7984 0.2531 0.6953
Se: 0.7469 0.2016 0.3047
Se: 0.7709 0.7709 0.6874
Se: 0.7469 0.7469 0.3047
Se: 0.2291 0.2291 0.3126
Se: 0.2531 0.2531 0.6953
K: 0.6416 0.6416 0.0753
K: 0.3584 0.3584 0.9247
K: 0.5000 0.5000 0.5000
K: 0.0000 0.0000 0.0000
Th: 0.0000 0.0000 0.5000
Th: 0.5000 0.0000 0.5000
Th: 0.0000 0.5000 0.5000

- space group = R-3m
- spin magnetization (μB/f.u.) = 0.00
- E_form (uncorrected) (meV per atom) = -1582
- VASP energy (eV/cell) = -78.3
- crystal system = trigonal